Record 1
K3U2CdSe6 | GGA-PBE | relaxed

a = 7.301 Å, b = 7.301 Å, c = 8.095 Å
α = 98.62°, β = 98.62°, γ = 119.97°
Element x y z (fractional)
K 0.000 0.000 0.000
K 0.336 0.664 0.000
K 0.664 0.336 0.000
U 0.167 0.833 0.500
U 0.833 0.167 0.500
Cd 0.500 0.500 0.500
Se 0.093 0.431 0.293
Se 0.231 0.231 0.706
Se 0.431 0.093 0.293
Se 0.569 0.907 0.707
Se 0.769 0.769 0.294
Se 0.907 0.569 0.707

- Formation energy (no corrections): -1.139 eV per atom
- Density of states at the Fermi level: 13.36 states/eV per cell
- Uncorrected energy: -5.113 eV/atom

Record 2
K3UCd2Se6 | GGA-PBE | relaxed

a = 7.198 Å, b = 7.198 Å, c = 8.061 Å
α = 98.49°, β = 98.49°, γ = 120.13°
Element x y z (fractional)
K 0.000 0.000 0.000
K 0.329 0.671 0.000
K 0.671 0.329 0.000
U 0.500 0.500 0.500
Cd 0.166 0.834 0.500
Cd 0.834 0.166 0.500
Se 0.109 0.432 0.296
Se 0.247 0.247 0.706
Se 0.432 0.109 0.296
Se 0.568 0.891 0.704
Se 0.753 0.753 0.294
Se 0.891 0.568 0.704

- Formation energy (no corrections): -1.003 eV per atom
- Density of states at the Fermi level: 0.53 states/eV per cell
- Uncorrected energy: -4.113 eV/atom

Record 3
K2VCdSe4 | GGA-PBE | relaxed

a = 13.997 Å, b = 12.588 Å, c = 7.513 Å
α = 84.24°, β = 63.48°, γ = 32.28°
Element x y z (fractional)
K 0.058 0.058 0.692
K 0.308 0.308 0.942
K 0.692 0.692 0.058
K 0.942 0.942 0.308
V 0.375 0.375 0.375
V 0.625 0.625 0.625
Cd 0.125 0.125 0.125
Cd 0.875 0.875 0.875
Se 0.001 0.636 0.544
Se 0.320 0.544 0.636
Se 0.364 0.999 0.680
Se 0.456 0.680 0.999
Se 0.544 0.320 0.001
Se 0.636 0.001 0.320
Se 0.680 0.456 0.364
Se 0.999 0.364 0.456

- Formation energy (no corrections): -0.849 eV per atom
- Density of states at the Fermi level: 7.20 states/eV per cell
- Uncorrected energy: -4.120 eV/atom

In the order shown, the computed calculated volume values come out to 29.72, 28.76, 32.22 A^3/atom.